NaCuSnSeS2, relaxed, DFT GGA-PBE; calculated density = 4.459 g cm⁻³; space-group type = Cmcm; E_tot = -3.942 eV per atom
1.0
1.8669 -6.6537 0.0000
1.8669 6.6537 0.0000
0.0000 0.0000 10.4442
Cu Na S Se Sn
2 2 4 2 2
direct
0.5513 0.4487 0.2500
0.4487 0.5513 0.7500
0.2468 0.7532 0.2500
0.7532 0.2468 0.7500
0.6308 0.3692 0.0576
0.6308 0.3692 0.4424
0.3692 0.6308 0.5576
0.3692 0.6308 0.9424
0.9234 0.0766 0.2500
0.0766 0.9234 0.7500
0.0000 0.0000 0.0000
0.0000 0.0000 0.5000